# SrPr2Se3

A relaxed SrPr2Se3 crystal (PBE, OQMD via LeMat-Bulk).

Space group   No. 164
M_tot   0.00 μB per formula unit
Electronic total energy   -5.530 eV/atom

Cell lengths 4.317, 4.317, 10.572 Å; angles 90.00, 90.00, 120.00 degrees
Sites, in units of the cell vectors:
Sr 0.000 0.000 0.000
Pr 0.333 0.667 0.654
Pr 0.667 0.333 0.346
Se 0.000 0.000 0.500
Se 0.333 0.667 0.173
Se 0.667 0.333 0.827

# Sr2PrSe3

A relaxed Sr2PrSe3 crystal (PBE, OQMD via LeMat-Bulk).

Space group   No. 164
M_tot   0.01 μB per formula unit
Electronic total energy   -5.071 eV/atom

Cell lengths 4.346, 4.346, 10.827 Å; angles 90.00, 90.00, 120.00 degrees
Sites, in units of the cell vectors:
Sr 0.333 0.667 0.169
Sr 0.667 0.333 0.831
Pr 0.000 0.000 0.500
Se 0.000 0.000 0.000
Se 0.333 0.667 0.661
Se 0.667 0.333 0.339

# SrPrSe2

A relaxed SrPrSe2 crystal (PBE, OQMD via LeMat-Bulk).

Space group   No. 123
M_tot   0.01 μB per formula unit
Electronic total energy   -5.278 eV/atom

Cell lengths 4.331, 4.331, 6.127 Å; angles 90.00, 90.00, 90.00 degrees
Sites, in units of the cell vectors:
Sr 0.000 0.000 0.000
Pr 0.500 0.500 0.500
Se 0.000 0.000 0.500
Se 0.500 0.500 0.000

# TbPr2Se3

A relaxed TbPr2Se3 crystal (PBE, OQMD via LeMat-Bulk).

Space group   No. 164
M_tot   0.00 μB per formula unit
Electronic total energy   -5.929 eV/atom

Cell lengths 4.182, 4.182, 10.382 Å; angles 90.00, 90.00, 120.00 degrees
Sites, in units of the cell vectors:
Tb 0.000 0.000 0.000
Pr 0.333 0.667 0.670
Pr 0.667 0.333 0.330
Se 0.000 0.000 0.500
Se 0.333 0.667 0.155
Se 0.667 0.333 0.845

# TbPr5Se6

A relaxed TbPr5Se6 crystal (PBE, OQMD via LeMat-Bulk).

Space group   No. 12
M_tot   0.01 μB per formula unit
Electronic total energy   -5.951 eV/atom

Cell lengths 7.338, 7.338, 7.318 Å; angles 99.62, 99.62, 120.08 degrees
Sites, in units of the cell vectors:
Tb 0.000 0.000 0.000
Pr 0.172 0.828 0.500
Pr 0.332 0.668 0.000
Pr 0.500 0.500 0.500
Pr 0.668 0.332 0.000
Pr 0.828 0.172 0.500
Se 0.081 0.405 0.243
Se 0.241 0.241 0.752
Se 0.405 0.081 0.243
Se 0.595 0.919 0.757
Se 0.759 0.759 0.248
Se 0.919 0.595 0.757

# Tb5PrSe6

A relaxed Tb5PrSe6 crystal (PBE, OQMD via LeMat-Bulk).

Space group   No. 12
M_tot   0.01 μB per formula unit
Electronic total energy   -5.852 eV/atom

Cell lengths 7.139, 7.139, 7.115 Å; angles 99.62, 99.62, 120.05 degrees
Sites, in units of the cell vectors:
Tb 0.000 0.000 0.000
Tb 0.165 0.835 0.500
Tb 0.340 0.660 0.000
Tb 0.660 0.340 0.000
Tb 0.835 0.165 0.500
Pr 0.500 0.500 0.500
Se 0.071 0.415 0.243
Se 0.241 0.241 0.751
Se 0.415 0.071 0.243
Se 0.585 0.929 0.757
Se 0.759 0.759 0.249
Se 0.929 0.585 0.757

# Pr3TeSe2

A relaxed Pr3TeSe2 crystal (PBE, OQMD via LeMat-Bulk).

Space group   No. 164
M_tot   0.01 μB per formula unit
Electronic total energy   -5.780 eV/atom

Cell lengths 4.342, 4.342, 10.696 Å; angles 90.00, 90.00, 120.00 degrees
Sites, in units of the cell vectors:
Pr 0.000 0.000 0.000
Pr 0.333 0.667 0.312
Pr 0.667 0.333 0.688
Te 0.000 0.000 0.500
Se 0.333 0.667 0.842
Se 0.667 0.333 0.158

# PrTlZnSe3

A relaxed PrTlZnSe3 crystal (PBE, OQMD via LeMat-Bulk).

Energy above the most stable polymorph in this dataset   17 meV/atom
Space group   No. 62
M_tot   0.00 μB per formula unit

Cell lengths 14.944, 4.237, 11.487 Å; angles 90.00, 90.00, 90.00 degrees
Sites, in units of the cell vectors:
Pr 0.026 0.250 0.159
Pr 0.474 0.750 0.659
Pr 0.526 0.250 0.341
Pr 0.974 0.750 0.841
Tl 0.240 0.250 0.463
Tl 0.260 0.750 0.963
Tl 0.740 0.250 0.037
Tl 0.760 0.750 0.537
Zn 0.018 0.750 0.403
Zn 0.482 0.250 0.903
Zn 0.518 0.750 0.097
Zn 0.982 0.250 0.597
Se 0.079 0.750 0.609
Se 0.100 0.250 0.922
Se 0.142 0.750 0.261
Se 0.358 0.250 0.761
Se 0.400 0.750 0.422
Se 0.421 0.250 0.109
Se 0.579 0.750 0.891
Se 0.600 0.250 0.578
Se 0.642 0.750 0.239
Se 0.858 0.250 0.739
Se 0.900 0.750 0.078
Se 0.921 0.250 0.391

# PrTlZnSe3

A relaxed PrTlZnSe3 crystal (PBE, OQMD via LeMat-Bulk).

Energy above the most stable polymorph in this dataset   1 meV/atom
Space group   No. 63
M_tot   0.00 μB per formula unit

Cell lengths 7.694, 7.694, 11.373 Å; angles 90.00, 90.00, 148.09 degrees
Sites, in units of the cell vectors:
Pr 0.000 0.000 0.000
Pr 0.000 0.000 0.500
Tl 0.247 0.753 0.750
Tl 0.753 0.247 0.250
Zn 0.464 0.536 0.250
Zn 0.536 0.464 0.750
Se 0.067 0.933 0.250
Se 0.369 0.631 0.072
Se 0.369 0.631 0.428
Se 0.631 0.369 0.572
Se 0.631 0.369 0.928
Se 0.933 0.067 0.750

# PrTlZnSe3

A relaxed PrTlZnSe3 crystal (PBE, OQMD via LeMat-Bulk).

Energy above the most stable polymorph in this dataset   20 meV/atom
Space group   No. 11
M_tot   0.00 μB per formula unit

Cell lengths 8.463, 4.224, 10.658 Å; angles 90.00, 106.90, 90.00 degrees
Sites, in units of the cell vectors:
Pr 0.200 0.250 0.135
Pr 0.800 0.750 0.865
Tl 0.229 0.750 0.707
Tl 0.771 0.250 0.293
Zn 0.427 0.750 0.392
Zn 0.573 0.250 0.608
Se 0.044 0.250 0.851
Se 0.285 0.250 0.442
Se 0.456 0.750 0.168
Se 0.544 0.250 0.832
Se 0.715 0.750 0.558
Se 0.956 0.750 0.149

# PrTlZnSe3

A relaxed PrTlZnSe3 crystal (PBE, OQMD via LeMat-Bulk).

Energy above the most stable polymorph in this dataset   151 meV/atom
Space group   No. 12
M_tot   0.00 μB per formula unit

Cell lengths 9.072, 9.072, 9.291 Å; angles 106.87, 106.87, 27.72 degrees
Sites, in units of the cell vectors:
Pr 0.177 0.177 0.115
Pr 0.823 0.823 0.885
Tl 0.134 0.134 0.577
Tl 0.866 0.866 0.423
Zn 0.495 0.495 0.787
Zn 0.505 0.505 0.213
Se 0.000 0.000 0.000
Se 0.345 0.345 0.687
Se 0.347 0.347 0.121
Se 0.500 0.500 0.500
Se 0.653 0.653 0.879
Se 0.655 0.655 0.313

# PrTlZnSe3

A relaxed PrTlZnSe3 crystal (PBE, OQMD via LeMat-Bulk).

Energy above the most stable polymorph in this dataset   0 meV/atom
Space group   No. 62
M_tot   0.00 μB per formula unit

Cell lengths 11.400, 4.239, 14.656 Å; angles 90.00, 90.00, 90.00 degrees
Sites, in units of the cell vectors:
Pr 0.013 0.250 0.237
Pr 0.487 0.750 0.737
Pr 0.513 0.250 0.263
Pr 0.987 0.750 0.763
Tl 0.214 0.750 0.502
Tl 0.286 0.250 0.002
Tl 0.714 0.750 0.998
Tl 0.786 0.250 0.498
Zn 0.237 0.250 0.716
Zn 0.263 0.750 0.216
Zn 0.737 0.250 0.784
Zn 0.763 0.750 0.284
Se 0.052 0.250 0.628
Se 0.095 0.750 0.110
Se 0.242 0.750 0.818
Se 0.258 0.250 0.318
Se 0.405 0.250 0.610
Se 0.448 0.750 0.128
Se 0.552 0.250 0.872
Se 0.595 0.750 0.390
Se 0.742 0.750 0.682
Se 0.758 0.250 0.182
Se 0.905 0.250 0.890
Se 0.948 0.750 0.372

M_tot of number 6 (Tb5PrSe6)? 0.01 μB per formula unit